[1]
{"formula": "Li3CrCo3O8", "functional": "SCAN", "state": "PBEsol geometry", "cell": [[-4.639, -1.468, 2.785], [-0.929, -5.384, 1.258], [0.419, -1.721, 5.433]], "species": ["O", "O", "O", "O", "O", "O", "O", "O", "Li", "Li", "Li", "Co", "Co", "Co", "Cr"], "fractional_positions": [[0.238, 0.238, 0.786], [0.762, 0.262, 0.214], [0.262, 0.762, 0.214], [0.738, 0.738, 0.787], [0.262, 0.262, 0.213], [0.738, 0.238, 0.786], [0.238, 0.738, 0.786], [0.762, 0.762, 0.214], [0.000, 0.500, 0.500], [0.000, 0.000, 0.500], [0.500, 0.000, 0.500], [0.500, 0.500, 0.000], [0.500, 0.000, 0.000], [0.000, 0.500, 0.000], [0.000, 0.000, 0.000]], "magnetic_moment_mub_per_fu": 2.0, "e_tot_ev_per_cell": -155.78, "mass_density_g_cm3": 4.9, "raw_formation_energy_ev_per_atom": -1.90}

[2]
{"formula": "Li2CrCo3O8", "functional": "SCAN", "state": "PBEsol geometry", "cell": [[5.592, 0.000, 0.000], [-2.796, 4.843, 0.000], [0.000, 0.000, 8.978]], "species": ["Co", "Co", "Co", "Co", "Co", "Co", "Li", "Li", "Li", "Li", "O", "O", "O", "O", "O", "O", "O", "O", "O", "O", "O", "O", "O", "O", "O", "O", "Cr", "Cr"], "fractional_positions": [[0.830, 0.660, 0.787], [0.170, 0.830, 0.287], [0.340, 0.170, 0.787], [0.830, 0.170, 0.787], [0.660, 0.830, 0.287], [0.170, 0.340, 0.287], [0.000, 0.000, 0.001], [0.667, 0.333, 0.108], [0.333, 0.667, 0.608], [0.000, 0.000, 0.501], [0.168, 0.832, 0.898], [0.168, 0.337, 0.898], [0.832, 0.663, 0.398], [0.337, 0.168, 0.398], [0.333, 0.667, 0.393], [0.478, 0.522, 0.161], [0.522, 0.478, 0.661], [0.667, 0.333, 0.893], [0.522, 0.044, 0.661], [0.000, 0.000, 0.193], [0.956, 0.478, 0.661], [0.663, 0.832, 0.898], [0.478, 0.956, 0.161], [0.000, 0.000, 0.693], [0.832, 0.168, 0.398], [0.044, 0.522, 0.161], [0.667, 0.333, 0.507], [0.333, 0.667, 0.007]], "magnetic_moment_mub_per_fu": 1.0, "e_tot_ev_per_cell": -300.26, "mass_density_g_cm3": 5.1, "raw_formation_energy_ev_per_atom": -1.80}

[3]
{"formula": "Li4Cr3Co3Sb2O16", "functional": "SCAN", "state": "PBEsol geometry", "cell": [[-2.934, 3.379, -3.585], [-4.883, 2.426, 1.773], [4.773, 7.544, 3.078]], "species": ["Li", "Li", "Li", "Li", "O", "O", "O", "O", "O", "O", "O", "O", "O", "O", "O", "O", "O", "O", "O", "O", "Co", "Co", "Co", "Sb", "Sb", "Cr", "Cr", "Cr"], "fractional_positions": [[0.996, 0.996, 0.494], [0.670, 0.670, 0.899], [0.335, 0.335, 0.404], [0.995, 0.995, 0.993], [0.484, 0.484, 0.829], [0.839, 0.839, 0.604], [0.676, 0.160, 0.099], [0.035, 0.487, 0.837], [0.995, 0.995, 0.806], [0.319, 0.839, 0.598], [0.517, 0.517, 0.341], [0.487, 0.035, 0.837], [0.839, 0.319, 0.598], [0.997, 0.997, 0.308], [0.162, 0.162, 0.095], [0.337, 0.337, 0.612], [0.522, 0.967, 0.338], [0.967, 0.522, 0.338], [0.160, 0.676, 0.099], [0.667, 0.667, 0.108], [0.170, 0.659, 0.715], [0.828, 0.828, 0.215], [0.659, 0.170, 0.715], [0.335, 0.335, 0.988], [0.667, 0.667, 0.492], [0.170, 0.170, 0.715], [0.340, 0.831, 0.216], [0.831, 0.340, 0.216]], "magnetic_moment_mub_per_fu": 9.0, "e_tot_ev_per_cell": -347.68, "mass_density_g_cm3": 5.3, "raw_formation_energy_ev_per_atom": -2.03}

[4]
{"formula": "Li4Cr2Co3Sn3O16", "functional": "SCAN", "state": "PBEsol geometry", "cell": [[-5.261, -2.638, -0.591], [-1.764, -1.947, -5.299], [3.811, -8.198, 1.628]], "species": ["O", "O", "O", "O", "O", "O", "O", "O", "O", "O", "O", "O", "O", "O", "O", "O", "Co", "Co", "Co", "Cr", "Cr", "Li", "Li", "Li", "Li", "Sn", "Sn", "Sn"], "fractional_positions": [[0.682, 0.682, 0.093], [0.535, 0.960, 0.347], [0.667, 0.156, 0.100], [0.828, 0.828, 0.612], [0.342, 0.342, 0.610], [0.990, 0.990, 0.317], [0.176, 0.176, 0.092], [0.040, 0.502, 0.848], [0.502, 0.040, 0.848], [0.156, 0.667, 0.100], [0.960, 0.535, 0.347], [0.523, 0.523, 0.352], [0.476, 0.476, 0.832], [0.822, 0.331, 0.598], [0.987, 0.987, 0.813], [0.331, 0.822, 0.598], [0.660, 0.169, 0.714], [0.831, 0.831, 0.219], [0.169, 0.660, 0.714], [0.341, 0.341, 0.986], [0.672, 0.672, 0.497], [0.871, 0.871, 0.963], [0.658, 0.658, 0.867], [0.985, 0.985, 0.507], [0.341, 0.341, 0.400], [0.337, 0.835, 0.208], [0.167, 0.167, 0.720], [0.835, 0.337, 0.208]], "magnetic_moment_mub_per_fu": 5.0, "e_tot_ev_per_cell": -358.98, "mass_density_g_cm3": 5.5, "raw_formation_energy_ev_per_atom": -1.90}

[5]
{"formula": "Li4Cr3Co3Te2O16", "functional": "SCAN", "state": "PBEsol geometry", "cell": [[5.811, 0.000, 0.000], [-2.905, 4.938, 0.041], [0.000, 0.008, 9.679]], "species": ["O", "O", "O", "O", "O", "O", "O", "O", "O", "O", "O", "O", "O", "O", "O", "O", "Li", "Li", "Li", "Li", "Cr", "Cr", "Cr", "Co", "Co", "Co", "Te", "Te"], "fractional_positions": [[0.311, 0.162, 0.895], [0.486, 0.512, 0.670], [0.002, 0.004, 0.692], [0.662, 0.324, 0.388], [0.004, 0.008, 0.193], [0.511, 0.023, 0.180], [0.486, 0.972, 0.670], [0.850, 0.162, 0.895], [0.966, 0.482, 0.167], [0.160, 0.319, 0.390], [0.690, 0.847, 0.398], [0.516, 0.482, 0.167], [0.156, 0.847, 0.398], [0.334, 0.667, 0.892], [0.026, 0.512, 0.670], [0.842, 0.683, 0.904], [0.666, 0.332, 0.597], [0.005, 0.010, 0.506], [0.329, 0.658, 0.102], [0.005, 0.009, 0.008], [0.828, 0.657, 0.281], [0.169, 0.827, 0.783], [0.658, 0.827, 0.783], [0.171, 0.341, 0.784], [0.339, 0.168, 0.284], [0.829, 0.168, 0.284], [0.333, 0.666, 0.502], [0.662, 0.324, 0.008]], "magnetic_moment_mub_per_fu": 7.1, "e_tot_ev_per_cell": -343.06, "mass_density_g_cm3": 5.2, "raw_formation_energy_ev_per_atom": -1.87}

[6]
{"formula": "Li4Cr3Co3W2O16", "functional": "SCAN", "state": "PBEsol geometry", "cell": [[-1.958, -4.157, -3.493], [3.631, -3.956, -2.116], [-1.671, -5.446, 7.574]], "species": ["O", "O", "O", "O", "O", "O", "O", "O", "O", "O", "O", "O", "O", "O", "O", "O", "W", "W", "Li", "Li", "Li", "Li", "Co", "Co", "Co", "Cr", "Cr", "Cr"], "fractional_positions": [[0.346, 0.844, 0.586], [0.844, 0.346, 0.586], [0.154, 0.659, 0.098], [0.487, 0.487, 0.868], [0.334, 0.334, 0.607], [0.165, 0.165, 0.097], [0.468, 0.036, 0.850], [0.665, 0.665, 0.110], [0.832, 0.832, 0.582], [0.961, 0.523, 0.335], [0.036, 0.468, 0.850], [0.996, 0.996, 0.799], [0.520, 0.520, 0.340], [0.659, 0.154, 0.098], [0.523, 0.961, 0.335], [0.997, 0.997, 0.307], [0.672, 0.672, 0.488], [0.333, 0.333, 0.987], [0.994, 0.994, 0.988], [0.672, 0.672, 0.908], [0.999, 0.999, 0.495], [0.336, 0.336, 0.401], [0.190, 0.650, 0.717], [0.650, 0.190, 0.717], [0.828, 0.828, 0.213], [0.336, 0.831, 0.214], [0.831, 0.336, 0.214], [0.171, 0.171, 0.714]], "magnetic_moment_mub_per_fu": 15.0, "e_tot_ev_per_cell": -415.52, "mass_density_g_cm3": 6.0, "raw_formation_energy_ev_per_atom": -2.14}

[7]
{"formula": "LiCr2CoOs", "functional": "SCAN", "state": "PBEsol geometry", "cell": [[-1.081, 0.950, 3.407], [-3.514, -1.447, -0.712], [1.150, -3.445, 1.325]], "species": ["Os", "Cr", "Cr", "Li", "Co"], "fractional_positions": [[0.500, 0.500, 0.500], [0.000, 0.500, 0.000], [0.000, 0.000, 0.500], [0.000, 0.000, 0.000], [0.500, 0.000, 0.000]], "magnetic_moment_mub_per_fu": 0.0, "e_tot_ev_per_cell": -122.27, "formation_energy_ev_per_atom": 1.21, "mass_density_g_cm3": 10.8}

[8]
{"formula": "RbLi2CrCo", "functional": "SCAN", "state": "PBEsol geometry", "cell": [[-3.010, -3.629, -2.172], [-0.248, -2.510, 4.537], [-5.060, 3.277, 1.536]], "species": ["Li", "Li", "Co", "Cr", "Rb"], "fractional_positions": [[0.500, 0.000, 0.000], [0.000, 0.500, 0.000], [0.500, 0.500, 0.500], [0.000, 0.000, 0.000], [0.000, 0.000, 0.500]], "magnetic_moment_mub_per_fu": 7.5, "e_tot_ev_per_cell": -55.55, "formation_energy_ev_per_atom": 1.13, "mass_density_g_cm3": 2.1}

[9]
{"formula": "Mg2CrCo", "functional": "SCAN", "state": "PBEsol geometry", "cell": [[-2.356, 1.287, 0.382], [-2.330, -1.384, -0.082], [-0.967, -1.553, 8.887]], "species": ["Co", "Mg", "Mg", "Cr"], "fractional_positions": [[0.500, 0.500, 0.500], [0.247, 0.247, 0.260], [0.753, 0.753, 0.740], [0.000, 0.000, 0.000]], "magnetic_moment_mub_per_fu": 1.6, "e_tot_ev_per_cell": -43.64, "formation_energy_ev_per_atom": 0.50, "mass_density_g_cm3": 4.7}

[10]
{"formula": "MgCr2Co", "functional": "SCAN", "state": "PBEsol geometry", "cell": [[3.391, 0.000, 0.000], [0.000, 3.391, 0.000], [-1.695, -1.695, 4.167]], "species": ["Cr", "Cr", "Co", "Mg"], "fractional_positions": [[0.750, 0.250, 0.500], [0.250, 0.750, 0.500], [0.000, 0.000, 0.000], [0.500, 0.500, 0.000]], "magnetic_moment_mub_per_fu": 0.0, "e_tot_ev_per_cell": -56.99, "formation_energy_ev_per_atom": 0.51, "mass_density_g_cm3": 6.5}

[11]
{"formula": "MgCr2Co", "functional": "SCAN", "state": "PBEsol geometry", "cell": [[-2.176, 1.734, 0.507], [-2.213, -2.018, -2.591], [0.873, -2.431, 4.170]], "species": ["Mg", "Co", "Cr", "Cr"], "fractional_positions": [[0.500, 0.000, 0.000], [0.000, 0.500, 0.000], [0.262, 0.263, 0.525], [0.738, 0.737, 0.475]], "magnetic_moment_mub_per_fu": 0.8, "e_tot_ev_per_cell": -57.59, "formation_energy_ev_per_atom": 0.36, "mass_density_g_cm3": 6.5}

[12]
{"formula": "MgCr2Co", "functional": "SCAN", "state": "PBEsol geometry", "cell": [[2.510, 0.008, 0.000], [-0.314, 2.490, 0.000], [0.000, 0.000, 7.915]], "species": ["Co", "Mg", "Cr", "Cr"], "fractional_positions": [[0.500, 0.500, 0.000], [0.500, 0.500, 0.500], [0.000, 0.000, 0.784], [0.000, 0.000, 0.216]], "magnetic_moment_mub_per_fu": 0.0, "e_tot_ev_per_cell": -57.04, "formation_energy_ev_per_atom": 0.50, "mass_density_g_cm3": 6.3}

[13]
{"formula": "MgCrCo", "functional": "SCAN", "state": "PBEsol geometry", "cell": [[-0.630, -2.457, 3.004], [2.407, -3.054, 0.580], [2.450, -0.015, 3.075]], "species": ["Cr", "Mg", "Co"], "fractional_positions": [[0.000, 0.000, 0.000], [0.500, 0.500, 0.500], [0.250, 0.250, 0.250]], "magnetic_moment_mub_per_fu": 2.5, "e_tot_ev_per_cell": -38.64, "formation_energy_ev_per_atom": 0.67, "mass_density_g_cm3": 5.2}

[14]
{"formula": "Mg2CrCo", "functional": "SCAN", "state": "PBEsol geometry", "cell": [[2.599, 0.015, 0.000], [-0.551, 2.540, 0.000], [0.000, 0.000, 8.553]], "species": ["Cr", "Mg", "Mg", "Co"], "fractional_positions": [[0.500, 0.500, 0.000], [0.000, 0.000, 0.741], [0.000, 0.000, 0.259], [0.500, 0.500, 0.500]], "magnetic_moment_mub_per_fu": 2.9, "e_tot_ev_per_cell": -43.91, "formation_energy_ev_per_atom": 0.43, "mass_density_g_cm3": 4.7}

[15]
{"formula": "Mg2CrCo", "functional": "SCAN", "state": "PBEsol geometry", "cell": [[-2.276, -0.774, -1.686], [0.341, -4.283, 1.507], [-1.893, 3.503, 3.505]], "species": ["Mg", "Mg", "Cr", "Co"], "fractional_positions": [[0.223, 0.723, 0.447], [0.008, 0.008, 0.016], [0.788, 0.288, 0.576], [0.480, 0.480, 0.961]], "magnetic_moment_mub_per_fu": 3.9, "e_tot_ev_per_cell": -44.51, "formation_energy_ev_per_atom": 0.28, "mass_density_g_cm3": 4.3}

[16]
{"formula": "MgCrCo", "functional": "SCAN", "state": "PBEsol geometry", "cell": [[2.604, 0.000, 0.000], [0.000, 4.068, 0.000], [0.000, -2.034, 3.523]], "species": ["Mg", "Co", "Cr"], "fractional_positions": [[0.322, 0.667, 0.333], [0.940, 0.000, 0.000], [0.739, 0.333, 0.667]], "magnetic_moment_mub_per_fu": 0.0, "e_tot_ev_per_cell": -39.19, "formation_energy_ev_per_atom": 0.49, "mass_density_g_cm3": 6.0}

[17]
{"formula": "MnCr2Co", "functional": "SCAN", "state": "PBEsol geometry", "cell": [[-0.142, 1.589, -2.404], [2.121, -2.658, -1.882], [-3.304, -1.890, -1.055]], "species": ["Cr", "Cr", "Co", "Mn"], "fractional_positions": [[0.000, 0.000, 0.000], [0.500, 0.500, 0.000], [0.000, 0.500, 0.500], [0.500, 0.000, 0.500]], "magnetic_moment_mub_per_fu": 4.0, "e_tot_ev_per_cell": -72.88, "formation_energy_ev_per_atom": -0.14, "mass_density_g_cm3": 8.2}

[18]
{"formula": "Mn2CrCo", "functional": "SCAN", "state": "PBEsol geometry", "cell": [[3.981, 0.000, 0.000], [1.991, 3.448, 0.000], [1.991, 1.149, 3.251]], "species": ["Cr", "Mn", "Mn", "Co"], "fractional_positions": [[0.000, 0.000, 0.000], [0.750, 0.750, 0.750], [0.250, 0.250, 0.250], [0.500, 0.500, 0.500]], "magnetic_moment_mub_per_fu": 4.9, "e_tot_ev_per_cell": -73.33, "formation_energy_ev_per_atom": -0.28, "mass_density_g_cm3": 8.2}

[19]
{"formula": "Mn2CrCo", "functional": "SCAN", "state": "PBEsol geometry", "cell": [[-1.492, -1.846, -1.510], [0.546, -1.999, 1.903], [-4.587, 1.414, 2.803]], "species": ["Cr", "Co", "Mn", "Mn"], "fractional_positions": [[0.500, 0.500, 0.756], [0.000, 0.000, 0.500], [0.500, 0.500, 0.252], [0.000, 0.000, 0.992]], "magnetic_moment_mub_per_fu": 4.4, "e_tot_ev_per_cell": -72.72, "formation_energy_ev_per_atom": -0.13, "mass_density_g_cm3": 8.3}

[20]
{"formula": "MnCr2Co", "functional": "SCAN", "state": "PBEsol geometry", "cell": [[3.963, 0.000, 0.000], [1.982, 3.432, 0.000], [1.982, 1.144, 3.236]], "species": ["Co", "Cr", "Cr", "Mn"], "fractional_positions": [[0.500, 0.500, 0.500], [0.750, 0.750, 0.750], [0.000, 0.000, 0.000], [0.250, 0.250, 0.250]], "magnetic_moment_mub_per_fu": 4.1, "e_tot_ev_per_cell": -72.69, "formation_energy_ev_per_atom": -0.09, "mass_density_g_cm3": 8.2}